[1]
! SrMo | Alexandria via LeMat-Bulk | GGA-PBE | optimized geometry; values from VASP
&SYSTEM
  ibrav = 0, nat = 32, ntyp = 2
/
ATOMIC_SPECIES
Sr 87.62 Sr.upf
Mo 95.94 Mo.upf
CELL_PARAMETERS angstrom
-5.7273 -1.0544 2.0576
5.6397 -5.2562 13.0049
-0.3053 9.0736 3.7997
ATOMIC_POSITIONS crystal
Sr 0.0000 0.0000 0.6664
Sr 0.0000 0.0000 0.3336
Sr 0.2500 0.7500 0.5836
Sr 0.2500 0.7500 0.9164
Sr 0.0000 0.5000 0.1664
Sr 0.0000 0.5000 0.8336
Sr 0.2500 0.2500 0.0836
Sr 0.2500 0.2500 0.4164
Sr 0.5000 0.0000 0.1664
Sr 0.5000 0.0000 0.8336
Sr 0.7500 0.7500 0.0836
Sr 0.7500 0.7500 0.4164
Sr 0.5000 0.5000 0.6664
Sr 0.5000 0.5000 0.3336
Sr 0.7500 0.2500 0.5836
Sr 0.7500 0.2500 0.9164
Mo 0.0000 0.0709 0.0000
Mo 0.0000 0.9291 0.0000
Mo 0.2500 0.6791 0.2500
Mo 0.2500 0.8209 0.2500
Mo 0.0000 0.5709 0.5000
Mo 0.0000 0.4291 0.5000
Mo 0.2500 0.1791 0.7500
Mo 0.2500 0.3209 0.7500
Mo 0.5000 0.0709 0.5000
Mo 0.5000 0.9291 0.5000
Mo 0.7500 0.6791 0.7500
Mo 0.7500 0.8209 0.7500
Mo 0.5000 0.5709 0.0000
Mo 0.5000 0.4291 0.0000
Mo 0.7500 0.1791 0.2500
Mo 0.7500 0.3209 0.2500
! energy of formation from the pure elements = 0.864 eV/atom
! total magnetization = 0.0 μB/f.u.
! DOS at the Fermi energy = 42.21 states/eV per cell


[2]
! Sr7Mo | Alexandria via LeMat-Bulk | GGA-PBE | optimized geometry; values from VASP
&SYSTEM
  ibrav = 0, nat = 8, ntyp = 2
/
ATOMIC_SPECIES
Sr 87.62 Sr.upf
Mo 95.94 Mo.upf
CELL_PARAMETERS angstrom
0.0000 5.7235 5.7235
5.7235 0.0000 5.7235
5.7235 5.7235 0.0000
ATOMIC_POSITIONS crystal
Sr 0.5000 0.5000 0.0000
Sr 0.5000 0.0000 0.5000
Sr 0.5000 0.0000 0.0000
Sr 0.0000 0.0000 0.5000
Sr 0.0000 0.5000 0.0000
Sr 0.0000 0.5000 0.5000
Sr 0.5000 0.5000 0.5000
Mo 0.0000 0.0000 0.0000
! energy of formation from the pure elements = 0.488 eV/atom
! total magnetization = 3.9 μB/f.u.
! DOS at the Fermi energy = 6.26 states/eV per cell


[3]
! SrMo | Alexandria via LeMat-Bulk | GGA-PBE | optimized geometry; values from VASP
&SYSTEM
  ibrav = 0, nat = 4, ntyp = 2
/
ATOMIC_SPECIES
Mo 95.94 Mo.upf
Sr 87.62 Sr.upf
CELL_PARAMETERS angstrom
-4.1637 -3.7822 -1.2813
5.5306 -1.3951 -0.8660
0.2383 -1.7127 4.2810
ATOMIC_POSITIONS crystal
Mo 0.0000 0.0000 0.0000
Mo 0.0000 0.0000 0.5000
Sr 0.3333 0.6667 0.2500
Sr 0.6667 0.3333 0.7500
! energy of formation from the pure elements = 0.943 eV/atom
! total magnetization = 0.2 μB/f.u.
! DOS at the Fermi energy = 7.55 states/eV per cell